Density functional theory data (PBE) for a relaxed BaPtO3 crystal.

Cell: 5.6851 5.6851 16.9470 Å, 90.00 90.00 120.00°
With the nearest neighbours (Å) after each atom.
Space group R-3 (No. 148, hexagonal axes)
Unique sites:
1 Ba 0.0000 0.0000 0.1312 [6 per cell]  3 O 2.46
2 Pt 0.0000 0.0000 0.3354 [6 per cell]  6 O 2.07-2.08
3 O 0.0063 0.3866 0.9360 [18 per cell]  2 Pt 2.07-2.08

Properties
The value obtained for the calculated total energy is -5.88 eV per atom.

=====

Density functional theory data (PBE) for a relaxed InAg2Sn2 crystal.

Cell: 4.4889 4.4889 12.4817 Å, 90.00 90.00 90.00°
With the nearest neighbours (Å) after each atom.
Space group I4/mmm (No. 139)
Unique sites:
1 In 0.0000 0.0000 0.0000 [2 per cell]  8 Ag 3.44, 8 Sn 3.84
2 Ag 0.0000 0.0000 0.3937 [4 per cell]  1 Ag 2.65, 4 Sn 2.87
3 Sn 0.0000 0.5000 0.2500 [4 per cell]  4 Ag 2.87, 4 Sn 3.17

Properties
The value obtained for the calculated total energy is -3.14 eV per atom.

=====

Density functional theory data (PBE) for a relaxed Zn3H24C12Br8O6 crystal.

Cell: 8.8842 11.0756 14.8322 Å, 104.86 91.29 106.81°
With the nearest neighbours (Å) after each atom.
Space group P-1 (No. 2)
Unique sites:
1 Zn 0.0290 0.0977 0.4281 [2 per cell]  4 Br 2.34-2.50
2 Zn 0.2544 0.6474 0.2028 [2 per cell]  5 O 2.10-2.27
3 Zn 0.4521 0.7531 0.9899 [2 per cell]  1 O 2.13, 2 Br 2.34-2.35
4 H 0.0082 0.7947 0.3046 [2 per cell]  1 C 1.10
5 H 0.0227 0.6241 0.8216 [2 per cell]  1 C 1.10
6 H 0.0345 0.3086 0.2655 [2 per cell]  1 C 1.10
7 H 0.0710 0.3180 0.9906 [2 per cell]  1 C 1.10
8 H 0.0883 0.5248 0.3865 [2 per cell]  1 C 1.10
9 H 0.1006 0.6287 0.9902 [2 per cell]  1 C 1.10
10 H 0.1016 0.9126 0.0797 [2 per cell]  1 C 1.10
11 H 0.1042 0.5176 0.6731 [2 per cell]  1 C 1.10
12 H 0.1366 0.8484 0.9616 [2 per cell]  1 C 1.10
13 H 0.1483 0.3461 0.6906 [2 per cell]  1 C 1.10
14 H 0.1543 0.2777 0.8443 [2 per cell]  1 C 1.10
15 H 0.1561 0.4450 0.8620 [2 per cell]  1 C 1.10
16 H 0.1997 0.9331 0.2326 [2 per cell]  1 C 1.10
17 H 0.2940 0.4519 0.3550 [2 per cell]  1 C 1.10
18 H 0.3303 0.2065 0.6408 [2 per cell]  1 C 1.10
19 H 0.3480 0.0647 0.1284 [2 per cell]  1 C 1.10
20 H 0.3514 0.3394 0.2628 [2 per cell]  1 C 1.10
21 H 0.3735 0.2416 0.7662 [2 per cell]  1 C 1.10
22 H 0.3810 0.0485 0.2906 [2 per cell]  1 C 1.10
23 H 0.3953 0.0245 0.6948 [2 per cell]  1 C 1.10
24 H 0.4274 0.4521 0.6609 [2 per cell]  1 C 1.10
25 H 0.4678 0.4764 0.7847 [2 per cell]  1 C 1.10
26 H 0.4804 0.9182 0.3895 [2 per cell]  1 C 1.10
27 H 0.4905 0.9970 0.8595 [2 per cell]  1 C 1.10
28 C 0.0225 0.5072 0.3184 [2 per cell]  2 H 1.10
29 C 0.0446 0.3113 0.7265 [2 per cell]  2 H 1.10
30 C 0.0533 0.7020 0.0351 [2 per cell]  2 H 1.10
31 C 0.0549 0.3990 0.2431 [2 per cell]  2 H 1.10
32 C 0.0868 0.3416 0.8306 [2 per cell]  2 H 1.10
33 C 0.1463 0.8389 0.0334 [2 per cell]  2 H 1.10
34 C 0.3287 0.9588 0.2331 [2 per cell]  2 H 1.10
35 C 0.3331 0.4364 0.2843 [2 per cell]  2 H 1.10
36 C 0.3809 0.9815 0.1412 [2 per cell]  2 H 1.10
37 C 0.4222 0.2241 0.6978 [2 per cell]  2 H 1.10
38 C 0.4841 0.5420 0.2836 [2 per cell]  2 H 1.10
39 C 0.4854 0.1088 0.6821 [2 per cell]  2 H 1.10
40 Br 0.0529 0.9579 0.7325 [2 per cell]  1 Zn 2.34
41 Br 0.1769 0.3288 0.4939 [2 per cell]  1 Zn 2.44
42 Br 0.1884 0.9677 0.4738 [2 per cell]  2 Zn 2.49-2.50
43 Br 0.2685 0.7163 0.5755 [2 per cell]  1 Br 2.42
44 Br 0.2805 0.1370 0.9583 [2 per cell]  1 Zn 2.34
45 Br 0.3506 0.7000 0.8323 [2 per cell]  1 Zn 2.35
46 Br 0.3589 0.5634 0.0568 [2 per cell]  2 Zn 2.44-2.49
47 Br 0.4725 0.3039 0.4552 [2 per cell]  1 Br 2.42
48 O 0.0620 0.6878 0.1293 [2 per cell]  2 C 1.45
49 O 0.0743 0.6301 0.2926 [2 per cell]  2 C 1.45-1.46
50 O 0.2141 0.4421 0.2185 [2 per cell]  2 C 1.44-1.45
51 O 0.3124 0.8661 0.0632 [2 per cell]  2 C 1.45
52 O 0.3751 0.8520 0.2519 [2 per cell]  2 C 1.45
53 O 0.4459 0.6638 0.3028 [2 per cell]  2 C 1.44

Properties
The value obtained for the calculated total energy is -4.90 eV per atom.

=====

Density functional theory data (PBE) for a relaxed Y2Hg2Pb3 crystal.

Cell: 5.2253 5.2253 24.8167 Å, 90.00 90.00 120.00°
With the nearest neighbours (Å) after each atom.
Space group R3m (No. 160, hexagonal axes)
Unique sites:
1 Y 0.0000 0.0000 0.0000 [3 per cell]  3 Pb 3.15, 4 Hg 3.26-3.27
2 Y 0.0000 0.0000 0.4374 [3 per cell]  6 Hg 3.10-3.30, 1 Pb 3.40
3 Hg 0.0000 0.0000 0.1319 [3 per cell]  4 Y 3.10-3.27, 3 Pb 3.30
4 Hg 0.0000 0.0000 0.7168 [3 per cell]  6 Y 3.26-3.30, 2 Pb 3.37-3.53, 3 Hg 3.64
5 Pb 0.0000 0.0000 0.2970 [3 per cell]  4 Y 3.15-3.48, 3 Pb 3.32
6 Pb 0.0000 0.0000 0.5746 [3 per cell]  6 Pb 3.32, 1 Y 3.40, 1 Hg 3.53
7 Pb 0.0000 0.0000 0.8524 [3 per cell]  4 Hg 3.30-3.37, 3 Pb 3.32, 4 Y 3.64-3.66

Properties
The value obtained for the calculated total energy is -3.79 eV per atom.

=====

Density functional theory data (PBE) for a relaxed CdAg15 crystal.

Cell: 5.8756 4.1347 37.2319 Å, 90.00 90.02 90.00°
With the nearest neighbours (Å) after each atom.
Space group P2_1/m (No. 11)
Unique sites:
1 Cd 0.1250 0.2500 0.2033 [2 per cell]  7 Ag 2.93-3.01
2 Ag 0.1250 0.2500 0.2841 [2 per cell]  11 Ag 2.91-2.98, 1 Cd 3.01
3 Ag 0.1251 0.2500 0.3625 [2 per cell]  12 Ag 2.92-2.94
4 Ag 0.1249 0.2500 0.4411 [2 per cell]  12 Ag 2.92-2.94
5 Ag 0.1249 0.2500 0.5199 [2 per cell]  12 Ag 2.92-2.94
6 Ag 0.1251 0.2500 0.5988 [2 per cell]  12 Ag 2.92-2.94
7 Ag 0.1248 0.2500 0.6777 [2 per cell]  12 Ag 2.91-2.98
8 Ag 0.1261 0.2500 0.7576 [2 per cell]  9 Ag 2.89-2.98, 2 Cd 2.93
9 Ag 0.3748 0.7500 0.3223 [2 per cell]  12 Ag 2.91-2.98
10 Ag 0.3751 0.7500 0.4013 [2 per cell]  12 Ag 2.92-2.94
11 Ag 0.3749 0.7500 0.4801 [2 per cell]  12 Ag 2.92-2.94
12 Ag 0.3749 0.7500 0.5590 [2 per cell]  12 Ag 2.92-2.94
13 Ag 0.3751 0.7500 0.6379 [2 per cell]  12 Ag 2.92-2.94
14 Ag 0.3750 0.7500 0.7165 [2 per cell]  12 Ag 2.92-2.96
15 Ag 0.3750 0.7500 0.7948 [2 per cell]  5 Ag 2.89-2.92, 2 Cd 2.94
16 Ag 0.3762 0.7500 0.2424 [2 per cell]  9 Ag 2.89-2.98, 2 Cd 2.93

Properties
The relative energy among the computed polymorphs is 25.1 meV/atom. For the energy of formation, the calculation gives 0.055 eV/atom.

=====

Density functional theory data (PBE) for a relaxed NdGePt3 crystal.

Cell: 4.1318 4.1318 5.6442 Å, 90.00 90.00 90.00°
With the nearest neighbours (Å) after each atom.
Space group P4mm (No. 99)
Unique sites:
1 Nd 0.0000 0.0000 0.0000 [1 per cell]  4 Pt 3.06, 4 Ge 3.27
2 Ge 0.5000 0.5000 0.7385 [1 per cell]  5 Pt 2.38-2.49
3 Pt 0.0000 0.5000 0.4924 [2 per cell]  2 Ge 2.49
4 Pt 0.5000 0.5000 0.1601 [1 per cell]  1 Ge 2.38

Properties
The value obtained for the calculated total energy is -6.41 eV per atom.

=====

Density functional theory data (PBE) for a relaxed MgTaSbMo crystal.

Cell: 6.6274 6.6274 6.6274 Å, 90.00 90.00 90.00°
With the nearest neighbours (Å) after each atom.
Space group F-43m (No. 216)
Unique sites:
1 Mg 0.0000 0.0000 0.0000 [4 per cell]  4 Ta 2.87, 4 Mo 2.87
2 Ta 0.2500 0.2500 0.2500 [4 per cell]  4 Sb 2.87, 4 Mg 2.87
3 Sb 0.0000 0.0000 0.5000 [4 per cell]  4 Ta 2.87, 4 Mo 2.87
4 Mo 0.2500 0.2500 0.7500 [4 per cell]  4 Sb 2.87, 4 Mg 2.87

Properties
The relative energy among the computed polymorphs is 308.7 meV/atom.